(1)
Material: Zr2ScTe
Method: DFT, PBE-GGA
State: optimized geometry

Geometry as extended XYZ:
```
4
Lattice="3.740 0.000 0.000 0.000 3.740 0.000 0.000 0.000 6.511" Properties=species:S:1:pos:R:3 pbc="T T T"
Zr 0.000 0.000 1.539
Zr 0.000 0.000 4.973
Sc 1.870 1.870 3.256
Te 1.870 1.870 0.000
```

Properties
* calculated total energy: -28.00 eV/cell
* magnetization: 0.00 μB per cell
* raw formation energy: -358 meV/atom
* crystal system: tetragonal
* DOS(E_F): 5.693 states/eV per cell

***

(2)
Material: DyScCuRu
Method: DFT, PBE-GGA
State: optimized geometry

Geometry as extended XYZ:
```
16
Lattice="6.673 0.000 0.000 0.000 6.673 0.000 0.000 0.000 6.673" Properties=species:S:1:pos:R:3 pbc="T T T"
Dy 0.000 0.000 0.000
Dy 0.000 3.336 3.336
Dy 3.336 0.000 3.336
Dy 3.336 3.336 0.000
Sc 0.000 0.000 3.336
Sc 0.000 3.336 0.000
Sc 3.336 0.000 0.000
Sc 3.336 3.336 3.336
Cu 1.668 1.668 1.668
Cu 1.668 5.005 5.005
Cu 5.005 1.668 5.005
Cu 5.005 5.005 1.668
Ru 1.668 1.668 5.005
Ru 1.668 5.005 1.668
Ru 5.005 1.668 1.668
Ru 5.005 5.005 5.005
```

Properties
* calculated total energy: -103.19 eV/cell
* magnetization: 0.00 μB per cell
* ΔH_f (0 K): -0.373 eV/atom
* crystal system: cubic
* DOS(E_F): 10.624 states/eV per cell

***

(3)
Material: K2TaAgS4
Method: DFT, PBE-GGA
State: optimized geometry

Geometry as extended XYZ:
```
16
Lattice="0.000 6.715 11.923 2.948 0.000 11.923 2.948 6.715 0.000" Properties=species:S:1:pos:R:3 pbc="T T T"
K 2.211 5.036 1.319
K 3.685 8.393 7.280
K 2.211 5.036 16.567
K 3.685 8.393 22.528
Ta 2.211 5.036 8.943
Ta 3.685 8.393 14.904
Ag 0.737 1.679 2.981
Ag 5.159 11.751 20.866
S 2.405 3.061 4.311
S 3.491 6.418 10.272
S 2.017 7.011 4.311
S 2.017 3.061 13.574
S 3.879 10.368 10.272
S 3.879 6.418 19.536
S 2.405 7.011 13.574
S 3.491 10.368 19.536
```

Properties
* distance to the lowest polymorph of the same formula: 3.2 kJ per mole of atoms
* calculated total energy: -82.90 eV/cell
* magnetization: 0.00 μB per cell
* raw formation energy: -1005 meV/atom
* crystal system: orthorhombic
* DOS(E_F): 0.000 states/eV per cell

***

(4)
Material: ZrPbBr2
Method: DFT, PBE-GGA
State: optimized geometry

Geometry as extended XYZ:
```
4
Lattice="3.522 0.000 0.000 0.000 4.862 0.000 -0.479 0.000 6.049" Properties=species:S:1:pos:R:3 pbc="T T T"
Zr 0.000 0.000 0.000
Pb 1.522 0.000 3.024
Br 0.176 2.431 4.655
Br 2.867 2.431 1.393
```

Properties
* distance to the lowest polymorph of the same formula: 37.5 kJ per mole of atoms
* calculated total energy: -17.14 eV/cell
* magnetization: 0.00 μB per cell
* raw formation energy: -385 meV/atom
* crystal system: monoclinic
* DOS(E_F): 2.040 states/eV per cell

***

- Which formula does entry 3 have?
  K2TaAgS4

***

Copy entry 1 word for word.
Material: Zr2ScTe
Method: DFT, PBE-GGA
State: optimized geometry

Geometry as extended XYZ:
```
4
Lattice="3.740 0.000 0.000 0.000 3.740 0.000 0.000 0.000 6.511" Properties=species:S:1:pos:R:3 pbc="T T T"
Zr 0.000 0.000 1.539
Zr 0.000 0.000 4.973
Sc 1.870 1.870 3.256
Te 1.870 1.870 0.000
```

Properties
* calculated total energy: -28.00 eV/cell
* magnetization: 0.00 μB per cell
* raw formation energy: -358 meV/atom
* crystal system: tetragonal
* DOS(E_F): 5.693 states/eV per cell